1.
Computed, not measured: ZrTcIr after structural relaxation at the PBE-GGA level of DFT.

a b c (Å): 6.5198 6.5198 2.8541
angles (deg): 77.36 77.36 25.29
Fractional positions:
Tc  0.3488  0.3488  0.6512
Ir  0.9857  0.9857  0.0143
Zr  0.6655  0.6655  0.3345

The uncorrected energy is -9.5394 eV/atom. For the formation energy, the calculation gives -0.281 eV/atom.


2.
Computed, not measured: Zr2TcIr after structural relaxation at the PBE-GGA level of DFT.

a b c (Å): 9.8241 9.8241 9.8241
angles (deg): 17.30 17.30 17.30
Fractional positions:
Zr  0.2440  0.2440  0.2440
Zr  0.0050  0.0050  0.0050
Ir  0.4942  0.4942  0.4942
Tc  0.7567  0.7567  0.7567

The uncorrected energy is -8.9618 eV/atom. For the formation energy, the calculation gives 0.119 eV/atom.


3.
Computed, not measured: Zr2TcIr after structural relaxation at the PBE-GGA level of DFT.

a b c (Å): 7.3455 4.6205 3.3571
angles (deg): 90.03 62.77 128.95
Fractional positions:
Ir  0.0000  0.5000  0.5000
Zr  0.5000  0.0000  0.5000
Zr  0.0000  0.0000  0.0000
Tc  0.5000  0.5000  0.0000

The uncorrected energy is -9.7662 eV/atom. For the formation energy, the calculation gives -0.685 eV/atom.


4.
Computed, not measured: Zr2TcIr after structural relaxation at the PBE-GGA level of DFT.

a b c (Å): 4.5971 4.5971 5.5287
angles (deg): 78.51 78.51 40.39
Fractional positions:
Tc  0.2500  0.2500  0.2500
Zr  0.5005  0.5005  0.4976
Zr  0.9995  0.9995  0.0024
Ir  0.7500  0.7500  0.7500

The uncorrected energy is -9.2874 eV/atom. For the formation energy, the calculation gives -0.207 eV/atom.


| no. | density of states at the Fermi level (states/eV/f.u.) | total magnetization (μB/cell) |
| --- | --- | --- |
| 1 | 3.1 | 0.000 |
| 2 | 6.4 | 0.000 |
| 3 | 1.1 | 0.000 |
| 4 | 4.0 | 0.000 |